# 1
# Pr5SmSe6

A geometry-optimized Pr5SmSe6 structure (GGA-PBE, Alexandria).

```
Pr5SmSe6
1.0
3.681 -6.392 0.000
3.681 6.392 0.000
-2.470 0.000 6.921
Pr Sm Se
5 1 6
Cartesian
0.000 0.000 0.000
2.445 4.255 3.460
3.681 2.170 0.000
3.681 -2.170 0.000
2.445 -4.255 3.460
2.445 0.000 3.460
1.242 2.097 1.755
0.024 0.000 5.183
1.242 -2.097 1.755
3.649 2.097 5.166
4.867 0.000 1.738
3.649 -2.097 5.166
```

Computed properties:
The uncorrected formation energy is -1842 meV/atom. For the volume, the calculation gives 27.1 Å³/atom.

***

# 2
# Zr2TaSiTc

A geometry-optimized Zr2TaSiTc structure (GGA-PBE, Alexandria).

```
Zr2TaSiTc
1.0
5.131 0.000 0.000
0.000 5.131 0.000
0.000 0.000 4.607
Zr Ta Si Tc
2 1 1 1
Cartesian
0.000 2.566 0.000
2.566 0.000 0.000
0.000 0.000 0.000
2.566 2.566 2.303
0.000 0.000 2.303
```

Computed properties:
The uncorrected formation energy is 1218 meV/atom. For the volume, the calculation gives 24.3 Å³/atom.

***

# 3
# MgNiMo

A geometry-optimized MgNiMo structure (GGA-PBE, Alexandria).

```
MgNiMo
1.0
0.000 2.900 2.900
2.900 0.000 2.900
2.900 2.900 0.000
Mg Ni Mo
1 1 1
Cartesian
0.000 0.000 0.000
1.450 1.450 1.450
2.900 2.900 2.900
```

Computed properties:
The polymorph energy (0 for the lowest one) comes out at 40.47 kJ per mole of atoms. For the volume, the calculation gives 16.3 Å³/atom. Its formation energy is 0.429 eV/atom.

***

# 4
# CaOs3Br

A geometry-optimized CaOs3Br structure (GGA-PBE, Alexandria).

```
CaOs3Br
1.0
4.985 0.000 0.000
0.000 4.985 0.000
0.000 0.000 4.985
Ca Os Br
1 3 1
Cartesian
0.000 0.000 0.000
0.000 0.000 2.492
0.000 2.492 0.000
2.492 0.000 0.000
2.492 2.492 2.492
```

Computed properties:
The polymorph energy (0 for the lowest one) comes out at 148.67 kJ per mole of atoms. The uncorrected formation energy is 3358 meV/atom. For the volume, the calculation gives 24.8 Å³/atom.

***

# 5
# CsAc2CuO4

A geometry-optimized CsAc2CuO4 structure (GGA-PBE, Alexandria).

```
CsAc2CuO4
1.0
1.980 -6.782 0.000
1.980 6.782 0.000
0.000 0.000 12.161
Cs Ac Cu O
2 4 2 8
Cartesian
1.980 5.722 9.121
1.980 -5.722 3.040
1.980 1.764 6.832
1.980 1.764 11.409
1.980 -1.764 0.752
1.980 -1.764 5.329
1.980 3.715 3.040
1.980 -3.715 9.121
0.000 0.000 0.000
0.000 0.000 6.080
1.980 3.506 1.182
1.980 3.506 4.899
1.980 1.135 9.121
1.980 -1.135 3.040
1.980 -3.506 7.262
1.980 -3.506 10.979
```

Computed properties:
The uncorrected formation energy is -2328 meV/atom. For the volume, the calculation gives 20.4 Å³/atom.

***

# 6
# Sm2ScHg6

A geometry-optimized Sm2ScHg6 structure (GGA-PBE, Alexandria).

```
Sm2ScHg6
1.0
7.196 -5.848 0.000
7.196 5.848 0.000
-0.942 0.000 5.329
Sm Sc Hg
4 2 12
Cartesian
2.334 1.472 0.433
1.863 -1.472 3.098
11.587 1.472 2.232
11.116 -1.472 4.896
6.490 1.419 3.997
6.961 -1.419 1.332
5.938 4.300 2.520
3.519 1.449 3.399
7.983 4.300 0.145
5.495 1.415 1.040
3.990 -1.449 0.735
8.426 1.415 1.624
5.024 -1.415 3.705
9.460 1.449 4.595
7.955 -1.415 4.289
5.467 -4.300 5.184
9.931 -1.449 1.930
7.512 -4.300 2.810
```

Computed properties:
The polymorph energy (0 for the lowest one) comes out at 0.00 kJ per mole of atoms. For the volume, the calculation gives 24.9 Å³/atom. Its formation energy is -0.363 eV/atom.

***

# 7
# Cs2DyCdF6

A geometry-optimized Cs2DyCdF6 structure (GGA-PBE, Alexandria).

```
Cs2DyCdF6
1.0
6.757 0.000 0.000
0.000 9.553 0.000
0.000 0.000 6.757
Cs Dy Cd F
4 2 2 12
Cartesian
1.689 0.000 1.685
1.689 4.776 1.685
5.067 9.553 5.072
5.067 4.777 5.072
1.689 2.388 5.051
5.067 7.165 1.706
1.689 7.165 5.072
5.067 2.388 1.686
0.139 2.388 3.502
0.141 2.388 6.600
1.689 0.197 5.043
1.689 4.579 5.043
3.240 2.388 3.502
3.237 2.388 6.600
3.520 7.165 0.157
3.517 7.165 3.255
5.067 4.974 1.714
5.067 9.356 1.714
6.615 7.165 0.157
6.618 7.165 3.255
```

Computed properties:
The uncorrected formation energy is -2986 meV/atom. For the volume, the calculation gives 21.8 Å³/atom.

***

# 8
# RbRe

A geometry-optimized RbRe structure (GGA-PBE, Alexandria).

```
RbRe
1.0
7.108 0.000 0.000
0.000 7.380 0.000
0.000 0.000 10.628
Rb Re
8 8
Cartesian
0.827 0.773 0.952
1.023 1.951 8.056
2.531 5.428 2.742
2.727 6.607 6.266
4.381 2.917 9.676
4.577 1.738 2.572
6.085 5.641 7.886
6.281 4.462 4.362
0.313 4.470 0.416
1.573 2.058 4.331
1.981 5.322 9.645
3.241 2.910 5.730
3.867 6.600 10.212
5.127 1.632 6.297
5.535 5.748 0.983
6.795 0.780 4.898
```

Computed properties:
The polymorph energy (0 for the lowest one) comes out at 84.94 kJ per mole of atoms. For the volume, the calculation gives 34.8 Å³/atom. Its formation energy is 1.597 eV/atom.

***

Total DFT energy (no corrections), record by record: -5.969 -7.729 -5.640 -4.114 -6.453 -2.316 -4.831 -5.110 eV per atom